Material: ZrOsCl3
Method: DFT, meta-GGA SCAN
State: single point on PBEsol structure

The space group is Pm-3m (No. 221) and the conventional cell measures 4.9406, 4.9406 and 4.9406 Å, with angles of 90.00, 90.00 and 90.00 degrees. The distinct sites, in fractional coordinates, are Zr at (0.0000, 0.0000, 0.0000), Os at (0.5000, 0.5000, 0.5000) and Cl at (0.0000, 0.0000, 0.5000).

The value obtained for the uncorrected energy is -25.13 eV per atom. Its uncorrected formation energy is 0.17 eV/atom.

Material: CdFeSi2
Method: DFT, meta-GGA SCAN
State: single point on PBEsol structure

The space group is P4/mmm (No. 123) and the conventional cell measures 2.7383, 2.7383 and 7.7129 Å, with angles of 90.00, 90.00 and 90.00 degrees. The distinct sites, in fractional coordinates, are Cd at (0.0000, 0.0000, 0.0000), Fe at (0.0000, 0.0000, 0.5000) and Si at (0.5000, 0.5000, 0.3195).

The value obtained for the uncorrected energy is -16.96 eV per atom. Its uncorrected formation energy is 0.18 eV/atom.

Material: MnAgAu2
Method: DFT, meta-GGA SCAN
State: single point on PBEsol structure

The space group is Cm (No. 8) and the conventional cell measures 9.3782, 2.9629 and 4.7576 Å, with angles of 90.00, 102.21 and 90.00 degrees. The distinct sites, in fractional coordinates, are Mn at (0.0000, 0.0000, 0.0000), Ag at (0.2481, 0.5000, 0.2609), Au at (0.0027, 0.5000, 0.5021) and Au at (0.2584, 0.0000, 0.7744).

Its formation energy is -0.23 eV per atom. The value obtained for the uncorrected energy is -47.21 eV per atom.

Material: Rh2C2Se
Method: DFT, meta-GGA SCAN
State: single point on PBEsol structure

The space group is I4/mmm (No. 139) and the conventional cell measures 3.2050, 3.2050 and 11.9685 Å, with angles of 90.00, 90.00 and 90.00 degrees. The distinct sites, in fractional coordinates, are Rh at (0.0000, 0.0000, 0.1482), C at (0.0000, 0.5000, 0.2500) and Se at (0.0000, 0.0000, 0.5000).

The value obtained for the uncorrected energy is -20.85 eV per atom. Its uncorrected formation energy is 0.71 eV/atom.

Material: Fe2P12W
Method: DFT, meta-GGA SCAN
State: single point on PBEsol structure

The space group is Pbcn (No. 60) and the conventional cell measures 13.6390, 5.6269 and 11.0157 Å, with angles of 90.00, 90.00 and 90.00 degrees. The distinct sites, in fractional coordinates, are Fe at (0.1502, 0.1031, 0.0413), P at (0.0091, 0.2572, 0.1021), P at (0.0868, 0.0641, 0.8563), P at (0.0918, 0.2644, 0.5619), P at (0.1676, 0.4834, 0.3046), P at (0.1894, 0.1173, 0.2286), P at (0.2033, 0.4655, 0.0012) and W at (0.0000, 0.3992, 0.7500).

Its formation energy is -0.36 eV per atom. The value obtained for the uncorrected energy is -15.74 eV per atom.

Material: BaZrPb
Method: DFT, meta-GGA SCAN
State: single point on PBEsol structure

The space group is F-43m (No. 216) and the conventional cell measures 7.3364, 7.3364 and 7.3364 Å, with angles of 90.00, 90.00 and 90.00 degrees. The distinct sites, in fractional coordinates, are Ba at (0.0000, 0.0000, 0.0000), Zr at (0.2500, 0.2500, 0.7500) and Pb at (0.0000, 0.0000, 0.5000).

Its formation energy is 0.32 eV per atom. The value obtained for the uncorrected energy is -48.35 eV per atom.

| no. | V (Å³ per cell) |
| --- | --- |
| 1 | 120.6 |
| 2 | 57.8 |
| 3 | 129.2 |
| 4 | 122.9 |
| 5 | 845.4 |
| 6 | 394.9 |